Computed, not measured: a relaxed structure of LaGe3Pt at the PBE-GGA level of DFT.

For the formation energy, the calculation gives 1.4190 eV/atom.

The structure belongs to space group Pm-3m (No. 221); the cell edges are 5.5008, 5.5008 and 5.5008 Å and the angles 90.00°, 90.00° and 90.00°. Symmetry generates all atoms from La at (0.0000, 0.0000, 0.0000), Ge at (0.0000, 0.0000, 0.5000) and Pt at (0.5000, 0.5000, 0.5000).


Computed, not measured: a relaxed structure of TiSN2O at the PBE-GGA level of DFT.

The value obtained for the formation energy (no corrections) is 1.1978 eV/atom.

The structure belongs to space group P4/mmm (No. 123); the cell edges are 3.7770, 3.7770 and 3.5824 Å and the angles 90.00°, 90.00° and 90.00°. Symmetry generates all atoms from Ti at (0.0000, 0.0000, 0.0000), S at (0.5000, 0.5000, 0.0000), N at (0.0000, 0.5000, 0.5000) and O at (0.5000, 0.5000, 0.5000).


Computed, not measured: a relaxed structure of HfAlGaIr at the PBE-GGA level of DFT.

For the formation energy, the calculation gives -0.5711 eV/atom.

The structure belongs to space group F-43m (No. 216); the cell edges are 6.4147, 6.4147 and 6.4147 Å and the angles 90.00°, 90.00° and 90.00°. Symmetry generates all atoms from Hf at (0.0000, 0.0000, 0.0000), Al at (0.0000, 0.0000, 0.5000), Ga at (0.2500, 0.2500, 0.2500) and Ir at (0.2500, 0.2500, 0.7500).


Computed, not measured: a relaxed structure of BeHg3Rh at the PBE-GGA level of DFT.

The calculation puts the energy above the most stable polymorph in this dataset at 0.000 eV per atom. For the formation energy, the calculation gives 0.6449 eV/atom.

The structure belongs to space group Pm-3m (No. 221); the cell edges are 4.6197, 4.6197 and 4.6197 Å and the angles 90.00°, 90.00° and 90.00°. Symmetry generates all atoms from Be at (0.0000, 0.0000, 0.0000), Hg at (0.0000, 0.0000, 0.5000) and Rh at (0.5000, 0.5000, 0.5000).


Computed, not measured: a relaxed structure of TlZn5 at the PBE-GGA level of DFT.

For the formation energy, the calculation gives 0.1160 eV/atom.

The structure belongs to space group Amm2 (No. 38); the cell edges are 4.1558, 3.1299 and 17.2005 Å and the angles 90.00°, 90.00° and 90.00°. Symmetry generates all atoms from Tl at (0.0000, 0.0000, 0.0000), Zn at (0.0000, 0.0000, 0.3300), Zn at (0.0000, 0.0000, 0.6930), Zn at (0.5000, 0.0000, 0.2261), Zn at (0.5000, 0.0000, 0.5970) and Zn at (0.5000, 0.0000, 0.8624).


Computed, not measured: a relaxed structure of SrReI2N at the PBE-GGA level of DFT.

The calculation puts the energy above the most stable polymorph in this dataset at 1.619 eV per atom. The value obtained for the formation energy (no corrections) is 1.4590 eV/atom.

The structure belongs to space group P4/mmm (No. 123); the cell edges are 5.1256, 5.1256 and 6.3375 Å and the angles 90.00°, 90.00° and 90.00°. Symmetry generates all atoms from Sr at (0.0000, 0.0000, 0.0000), Re at (0.0000, 0.0000, 0.5000), I at (0.0000, 0.5000, 0.5000) and N at (0.5000, 0.5000, 0.0000).


Computed, not measured: a relaxed structure of LiAcZrRu at the PBE-GGA level of DFT.

For the formation energy, the calculation gives 0.0536 eV/atom.

The structure belongs to space group F-43m (No. 216); the cell edges are 7.0752, 7.0752 and 7.0752 Å and the angles 90.00°, 90.00° and 90.00°. Symmetry generates all atoms from Li at (0.0000, 0.0000, 0.0000), Ac at (0.2500, 0.2500, 0.2500), Zr at (0.2500, 0.2500, 0.7500) and Ru at (0.0000, 0.0000, 0.5000).


Computed, not measured: a relaxed structure of La4Al2O at the PBE-GGA level of DFT.

The value obtained for the formation energy (no corrections) is -0.9452 eV/atom.

The structure belongs to space group I4/mmm (No. 139); the cell edges are 4.9013, 4.9013 and 16.6746 Å and the angles 90.00°, 90.00° and 90.00°. Symmetry generates all atoms from La at (0.0000, 0.0000, 0.1747), La at (0.0000, 0.5000, 0.0000), Al at (0.0000, 0.0000, 0.3654) and O at (0.0000, 0.0000, 0.0000).


Computed, not measured: a relaxed structure of TiTlAgS3 at the PBE-GGA level of DFT.

The value obtained for the formation energy (no corrections) is -0.7130 eV/atom.

The structure belongs to space group Cmcm (No. 63); the cell edges are 6.7790, 13.2699 and 6.5471 Å and the angles 90.00°, 90.00° and 90.00°. Symmetry generates all atoms from Ti at (0.0000, 0.0534, 0.2500), Tl at (0.0000, 0.2594, 0.7500), Ag at (0.0000, 0.4090, 0.2500), S at (0.0000, 0.2218, 0.2500) and S at (0.2375, 0.0000, 0.0000).


Number 1: total magnetic moment 0.00 μB per formula unit, E_tot -3.55 eV per atom. Number 2: total magnetic moment 0.00 μB per formula unit, E_tot -5.53 eV per atom. Number 3: total magnetic moment 0.00 μB per formula unit, E_tot -6.97 eV per atom. Number 4: total magnetic moment 0.00 μB per formula unit, E_tot -1.75 eV per atom. Number 5: total magnetic moment 0.00 μB per formula unit, E_tot -1.34 eV per atom. Number 6: total magnetic moment 0.00 μB per formula unit, E_tot -3.65 eV per atom. Number 7: total magnetic moment 0.00 μB per formula unit, E_tot -5.91 eV per atom. Number 8: total magnetic moment 0.00 μB per formula unit, E_tot -5.54 eV per atom. Number 9: total magnetic moment 0.00 μB per formula unit, E_tot -4.96 eV per atom.